No. 1
# Hf4AlCu PBE-GGA relaxed
# V	19.50	Å³ per atom
# VASP energy	-8.1094	eV per atom
# DFT formation energy	-1.00	eV/f.u.
data_Hf4AlCu
_space_group_name_H-M_alt 'P 4/m c c'
_space_group_IT_number 124
_space_group_name_Hall '-P 4 2c'
_cell_length_a 6.784
_cell_length_b 6.784
_cell_length_c 5.084
_cell_angle_alpha 90.00
_cell_angle_beta 90.00
_cell_angle_gamma 90.00
loop_
_atom_site_label
_atom_site_fract_x
_atom_site_fract_y
_atom_site_fract_z
Hf1 0.148 0.342 0.000
Al1 0.500 0.500 0.250
Cu1 0.000 0.000 0.250

=====

No. 2
# HfAlCu PBE-GGA relaxed
# V	17.98	Å³ per atom
# VASP energy	-6.1892	eV per atom
# DFT formation energy	-0.78	eV/f.u.
data_HfAlCu
_space_group_name_H-M_alt 'F -4 3 m'
_space_group_IT_number 216
_space_group_name_Hall 'F -4 2 3'
_cell_length_a 5.998
_cell_length_b 5.998
_cell_length_c 5.998
_cell_angle_alpha 90.00
_cell_angle_beta 90.00
_cell_angle_gamma 90.00
loop_
_atom_site_label
_atom_site_fract_x
_atom_site_fract_y
_atom_site_fract_z
Hf1 0.000 0.000 0.000
Al1 0.000 0.000 0.500
Cu1 0.250 0.250 0.750

=====

No. 3
# HfAl3Cu PBE-GGA relaxed
# relative energy among the computed polymorphs	45.8	kJ per mole of atoms
# V	18.42	Å³ per atom
# VASP energy	-4.7672	eV per atom
# DFT formation energy	1.44	eV/f.u.
data_HfAl3Cu
_space_group_name_H-M_alt 'P m -3 m'
_space_group_IT_number 221
_space_group_name_Hall '-P 4 2 3'
_cell_length_a 4.516
_cell_length_b 4.516
_cell_length_c 4.516
_cell_angle_alpha 90.00
_cell_angle_beta 90.00
_cell_angle_gamma 90.00
loop_
_atom_site_label
_atom_site_fract_x
_atom_site_fract_y
_atom_site_fract_z
Hf1 0.000 0.000 0.000
Al1 0.000 0.500 0.500
Cu1 0.500 0.500 0.500

=====

No. 4
# HfAlCu PBE-GGA relaxed
# V	16.58	Å³ per atom
# VASP energy	-6.2317	eV per atom
# DFT formation energy	-0.90	eV/f.u.
data_HfAlCu
_space_group_name_H-M_alt 'P m m a'
_space_group_IT_number 51
_cell_length_a 4.379
_cell_length_b 3.084
_cell_length_c 7.364
_cell_angle_alpha 90.00
_cell_angle_beta 90.00
_cell_angle_gamma 90.00
loop_
_space_group_symop_operation_xyz
'x,y,z'
'-x,-y,-z'
'-x+1/2,-y,z'
'x+1/2,y,-z'
'x+1/2,-y,-z'
'-x+1/2,y,z'
'-x,y,-z'
'x,-y,z'
loop_
_atom_site_label
_atom_site_fract_x
_atom_site_fract_y
_atom_site_fract_z
Hf1 0.250 0.000 0.236
Al1 0.250 0.500 0.589
Cu1 0.250 0.500 0.919

=====

No. 5
# HfAlCu2 PBE-GGA relaxed
# V	14.96	Å³ per atom
# VASP energy	-5.8086	eV per atom
# DFT formation energy	-1.35	eV/f.u.
data_HfAlCu2
_space_group_name_H-M_alt 'I 4/m m m'
_space_group_IT_number 139
_space_group_name_Hall '-I 4 2'
_cell_length_a 4.386
_cell_length_b 4.386
_cell_length_c 6.219
_cell_angle_alpha 90.00
_cell_angle_beta 90.00
_cell_angle_gamma 90.00
loop_
_atom_site_label
_atom_site_fract_x
_atom_site_fract_y
_atom_site_fract_z
Hf1 0.000 0.000 0.000
Al1 0.000 0.000 0.500
Cu1 0.000 0.500 0.250

=====

No. 6
# HfAlCu PBE-GGA relaxed
# V	16.71	Å³ per atom
# VASP energy	-6.0686	eV per atom
# DFT formation energy	-0.41	eV/f.u.
data_HfAlCu
_space_group_name_H-M_alt 'P n m a'
_space_group_IT_number 62
_cell_length_a 5.725
_cell_length_b 4.153
_cell_length_c 8.432
_cell_angle_alpha 90.00
_cell_angle_beta 90.00
_cell_angle_gamma 90.00
loop_
_space_group_symop_operation_xyz
'x,y,z'
'-x,-y,-z'
'-x+1/2,-y,z+1/2'
'x+1/2,y,-z+1/2'
'x+1/2,-y+1/2,-z+1/2'
'-x+1/2,y+1/2,z+1/2'
'-x,y+1/2,-z'
'x,-y+1/2,z'
loop_
_atom_site_label
_atom_site_fract_x
_atom_site_fract_y
_atom_site_fract_z
Hf1 0.149 0.250 0.080
Al1 0.144 0.250 0.410
Cu1 0.058 0.250 0.726

=====

No. 7
# HfAlCu PBE-GGA relaxed
# V	16.67	Å³ per atom
# VASP energy	-6.1983	eV per atom
# DFT formation energy	-0.80	eV/f.u.
data_HfAlCu
_space_group_name_H-M_alt 'C 1 m 1'
_space_group_IT_number 8
_cell_length_a 10.582
_cell_length_b 3.230
_cell_length_c 7.298
_cell_angle_alpha 90.00
_cell_angle_beta 126.71
_cell_angle_gamma 90.00
loop_
_space_group_symop_operation_xyz
'x,y,z'
'x,-y,z'
'x+1/2,y+1/2,z'
'x+1/2,-y+1/2,z'
loop_
_atom_site_label
_atom_site_fract_x
_atom_site_fract_y
_atom_site_fract_z
Hf1 0.000 0.000 0.000
Hf2 0.179 0.000 0.640
Al1 0.231 0.500 0.000
Al2 0.261 0.500 0.385
Cu1 0.444 0.000 0.281
Cu2 0.460 0.000 0.656

=====

No. 8
# HfAl4Cu PBE-GGA relaxed
# V	16.41	Å³ per atom
# VASP energy	-5.0515	eV per atom
# DFT formation energy	-1.29	eV/f.u.
data_HfAl4Cu
_space_group_name_H-M_alt 'P 1 21/m 1'
_space_group_IT_number 11
_cell_length_a 3.891
_cell_length_b 6.739
_cell_length_c 7.754
_cell_angle_alpha 90.00
_cell_angle_beta 104.45
_cell_angle_gamma 90.00
loop_
_space_group_symop_operation_xyz
'x,y,z'
'-x,-y,-z'
'-x,y+1/2,-z'
'x,-y+1/2,z'
loop_
_atom_site_label
_atom_site_fract_x
_atom_site_fract_y
_atom_site_fract_z
Hf1 0.114 0.250 0.232
Al1 0.072 0.750 0.146
Al2 0.319 0.054 0.638
Al3 0.500 0.000 0.000
Cu1 0.238 0.750 0.474

=====

No. 9
# HfAlCu PBE-GGA relaxed
# V	16.56	Å³ per atom
# VASP energy	-6.2581	eV per atom
# DFT formation energy	-0.98	eV/f.u.
data_HfAlCu
_space_group_name_H-M_alt 'P -1'
_space_group_IT_number 2
_cell_length_a 4.152
_cell_length_b 5.289
_cell_length_c 5.399
_cell_angle_alpha 89.29
_cell_angle_beta 67.46
_cell_angle_gamma 66.90
loop_
_space_group_symop_operation_xyz
'x,y,z'
'-x,-y,-z'
loop_
_atom_site_label
_atom_site_fract_x
_atom_site_fract_y
_atom_site_fract_z
Hf1 0.245 0.218 0.294
Al1 0.049 0.781 0.122
Cu1 0.462 0.377 0.699

=====

No. 10
# Hf2Al3Cu PBE-GGA relaxed
# relative energy among the computed polymorphs	0.0	kJ per mole of atoms
# V	16.69	Å³ per atom
# VASP energy	-6.3192	eV per atom
# DFT formation energy	-2.68	eV/f.u.
data_Hf2Al3Cu
_space_group_name_H-M_alt 'R -3 m'
_space_group_IT_number 166
_space_group_name_Hall '-R 3 2"'
_cell_length_a 5.2801
_cell_length_b 5.2801
_cell_length_c 12.4421
_cell_angle_alpha 90.00
_cell_angle_beta 90.00
_cell_angle_gamma 120.00
loop_
_atom_site_label
_atom_site_fract_x
_atom_site_fract_y
_atom_site_fract_z
Hf1 0.0000 0.0000 0.1250
Al1 0.0000 0.5000 0.0000
Cu1 0.0000 0.0000 0.5000

=====

No. 11
# HfAlCu PBE-GGA relaxed
# V	16.45	Å³ per atom
# VASP energy	-6.2721	eV per atom
# DFT formation energy	-1.02	eV/f.u.
data_HfAlCu
_space_group_name_H-M_alt 'C m c m'
_space_group_IT_number 63
_space_group_name_Hall '-C 2c 2'
_cell_length_a 3.876
_cell_length_b 9.538
_cell_length_c 5.339
_cell_angle_alpha 90.00
_cell_angle_beta 90.00
_cell_angle_gamma 90.00
loop_
_atom_site_label
_atom_site_fract_x
_atom_site_fract_y
_atom_site_fract_z
Hf1 0.000 0.203 0.250
Al1 0.000 0.500 0.000
Cu1 0.000 0.098 0.750

=====

No. 12
# Hf12AlCu6 PBE-GGA relaxed
# V	19.04	Å³ per atom
# VASP energy	-7.8040	eV per atom
# DFT formation energy	-0.52	eV/f.u.
data_Hf12AlCu6
_space_group_name_H-M_alt 'I m -3'
_space_group_IT_number 204
_space_group_name_Hall '-I 2 2 3'
_cell_length_a 8.977
_cell_length_b 8.977
_cell_length_c 8.977
_cell_angle_alpha 90.00
_cell_angle_beta 90.00
_cell_angle_gamma 90.00
loop_
_atom_site_label
_atom_site_fract_x
_atom_site_fract_y
_atom_site_fract_z
Hf1 0.000 0.179 0.280
Al1 0.000 0.000 0.000
Cu1 0.000 0.366 0.500

=====

No. 13
# HfAlCu PBE-GGA relaxed
# V	16.11	Å³ per atom
# VASP energy	-6.2670	eV per atom
# DFT formation energy	-1.01	eV/f.u.
data_HfAlCu
_space_group_name_H-M_alt 'A m m 2'
_space_group_IT_number 38
_cell_length_a 8.320
_cell_length_b 5.237
_cell_length_c 8.873
_cell_angle_alpha 90.00
_cell_angle_beta 90.00
_cell_angle_gamma 90.00
loop_
_space_group_symop_operation_xyz
'x,y,z'
'-x,-y,z'
'-x,y,z'
'x,-y,z'
'x,y+1/2,z+1/2'
'-x,-y+1/2,z+1/2'
'-x,y+1/2,z+1/2'
'x,-y+1/2,z+1/2'
loop_
_atom_site_label
_atom_site_fract_x
_atom_site_fract_y
_atom_site_fract_z
Hf1 0.181 0.000 0.000
Hf2 0.304 0.000 0.332
Al1 0.238 0.000 0.670
Al2 0.500 0.243 0.073
Cu1 0.000 0.000 0.495
Cu2 0.000 0.240 0.253
Cu3 0.500 0.000 0.829

=====

No. 14
# HfAlCu PBE-GGA relaxed
# V	17.48	Å³ per atom
# VASP energy	-6.1244	eV per atom
# DFT formation energy	-0.58	eV/f.u.
data_HfAlCu
_space_group_name_H-M_alt 'I m m 2'
_space_group_IT_number 44
_cell_length_a 4.005
_cell_length_b 12.607
_cell_length_c 6.230
_cell_angle_alpha 90.00
_cell_angle_beta 90.00
_cell_angle_gamma 90.00
loop_
_space_group_symop_operation_xyz
'x,y,z'
'-x,-y,z'
'-x,y,z'
'x,-y,z'
'x+1/2,y+1/2,z+1/2'
'-x+1/2,-y+1/2,z+1/2'
'-x+1/2,y+1/2,z+1/2'
'x+1/2,-y+1/2,z+1/2'
loop_
_atom_site_label
_atom_site_fract_x
_atom_site_fract_y
_atom_site_fract_z
Hf1 0.000 0.000 0.000
Hf2 0.000 0.342 0.885
Al1 0.000 0.000 0.452
Al2 0.000 0.329 0.420
Cu1 0.000 0.159 0.680
Cu2 0.000 0.500 0.195

=====

No. 15
# HfAlCu PBE-GGA relaxed
# V	16.44	Å³ per atom
# VASP energy	-6.1409	eV per atom
# DFT formation energy	-0.63	eV/f.u.
data_HfAlCu
_space_group_name_H-M_alt 'P -1'
_space_group_IT_number 2
_cell_length_a 2.959
_cell_length_b 5.432
_cell_length_c 6.759
_cell_angle_alpha 108.64
_cell_angle_beta 90.09
_cell_angle_gamma 105.73
loop_
_space_group_symop_operation_xyz
'x,y,z'
'-x,-y,-z'
loop_
_atom_site_label
_atom_site_fract_x
_atom_site_fract_y
_atom_site_fract_z
Hf1 0.163 0.324 0.104
Al1 0.469 0.938 0.279
Cu1 0.161 0.323 0.539

=====

No. 16
# HfAl2Cu9 PBE-GGA relaxed
# V	13.50	Å³ per atom
# VASP energy	-4.6168	eV per atom
# DFT formation energy	-1.10	eV/f.u.
data_HfAl2Cu9
_space_group_name_H-M_alt 'R -3 m'
_space_group_IT_number 166
_space_group_name_Hall '-R 3 2"'
_cell_length_a 4.8549
_cell_length_b 4.8549
_cell_length_c 23.8171
_cell_angle_alpha 90.00
_cell_angle_beta 90.00
_cell_angle_gamma 120.00
loop_
_atom_site_label
_atom_site_fract_x
_atom_site_fract_y
_atom_site_fract_z
Hf1 0.0000 0.0000 0.0000
Al1 0.0000 0.0000 0.1425
Cu1 0.0000 0.0000 0.3341
Cu2 0.0000 0.0000 0.5000
Cu3 0.0053 0.5027 0.9140

=====

No. 17
# HfAlCu PBE-GGA relaxed
# V	17.08	Å³ per atom
# VASP energy	-6.1482	eV per atom
# DFT formation energy	-0.65	eV/f.u.
data_HfAlCu
_space_group_name_H-M_alt 'P 1 2/m 1'
_space_group_IT_number 10
_cell_length_a 5.104
_cell_length_b 3.034
_cell_length_c 6.843
_cell_angle_alpha 90.00
_cell_angle_beta 104.72
_cell_angle_gamma 90.00
loop_
_space_group_symop_operation_xyz
'x,y,z'
'-x,-y,-z'
'-x,y,-z'
'x,-y,z'
loop_
_atom_site_label
_atom_site_fract_x
_atom_site_fract_y
_atom_site_fract_z
Hf1 0.103 0.000 0.304
Al1 0.385 0.500 0.665
Cu1 0.254 0.500 0.001

=====

No. 18
# HfAlCu PBE-GGA relaxed
# V	17.41	Å³ per atom
# VASP energy	-6.1575	eV per atom
# DFT formation energy	-0.68	eV/f.u.
data_HfAlCu
_space_group_name_H-M_alt 'C 1 m 1'
_space_group_IT_number 8
_cell_length_a 7.378
_cell_length_b 4.260
_cell_length_c 7.085
_cell_angle_alpha 90.00
_cell_angle_beta 110.23
_cell_angle_gamma 90.00
loop_
_space_group_symop_operation_xyz
'x,y,z'
'x,-y,z'
'x+1/2,y+1/2,z'
'x+1/2,-y+1/2,z'
loop_
_atom_site_label
_atom_site_fract_x
_atom_site_fract_y
_atom_site_fract_z
Hf1 0.000 0.000 0.000
Hf2 0.160 0.000 0.480
Al1 0.079 0.500 0.737
Al2 0.417 0.000 0.252
Cu1 0.251 0.500 0.251
Cu2 0.288 0.000 0.863

=====

No. 19
# HfAl2Cu6 PBE-GGA relaxed
# V	14.16	Å³ per atom
# VASP energy	-4.7436	eV per atom
# DFT formation energy	-0.68	eV/f.u.
data_HfAl2Cu6
_space_group_name_H-M_alt 'I m m m'
_space_group_IT_number 71
_space_group_name_Hall '-I 2 2'
_cell_length_a 2.864
_cell_length_b 7.122
_cell_length_c 12.489
_cell_angle_alpha 90.00
_cell_angle_beta 90.00
_cell_angle_gamma 90.00
loop_
_atom_site_label
_atom_site_fract_x
_atom_site_fract_y
_atom_site_fract_z
Hf1 0.000 0.000 0.000
Al1 0.000 0.500 0.148
Cu1 0.000 0.168 0.500
Cu2 0.000 0.322 0.325

=====

No. 20
# HfAlCu2 PBE-GGA relaxed
# V	17.09	Å³ per atom
# VASP energy	-5.2944	eV per atom
# DFT formation energy	0.71	eV/f.u.
data_HfAlCu2
_space_group_name_H-M_alt 'I -4 2 d'
_space_group_IT_number 122
_space_group_name_Hall 'I -4 2bw'
_cell_length_a 3.980
_cell_length_b 3.980
_cell_length_c 17.258
_cell_angle_alpha 90.00
_cell_angle_beta 90.00
_cell_angle_gamma 90.00
loop_
_atom_site_label
_atom_site_fract_x
_atom_site_fract_y
_atom_site_fract_z
Hf1 0.000 0.000 0.000
Al1 0.000 0.000 0.500
Cu1 0.198 0.250 0.625